Compound: RbMgSeN2
Source: Alexandria
Functional: PBE
Structure: optimized geometry

theoretical density	3.20	g cm⁻³
uncorrected formation energy	0.847	eV per atom
space group	No. 123
magnetization	5.02	μB per formula unit

a b c (Å): 4.620 4.620 5.277
angles (deg): 90.00 90.00 90.00
Element x y z (fractional)
Rb 0.500 0.500 0.500
Se 0.000 0.000 0.500
Mg 0.000 0.000 0.000
N 0.500 0.000 0.000
N 0.000 0.500 0.000


Compound: NaP2PdS8
Source: Alexandria
Functional: PBE
Structure: optimized geometry

theoretical density	2.85	g cm⁻³
uncorrected formation energy	-0.160	eV per atom
space group	No. 147
magnetization	0.06	μB per formula unit

a b c (Å): 5.811 5.811 8.922
angles (deg): 90.00 90.00 120.00
Element x y z (fractional)
S 0.667 0.333 0.046
S 0.320 0.333 0.330
S 0.680 0.667 0.670
S 0.333 0.667 0.954
S 0.667 0.987 0.330
S 0.333 0.013 0.670
S 0.987 0.320 0.670
S 0.013 0.680 0.330
P 0.667 0.333 0.272
P 0.333 0.667 0.728
Na 0.000 0.000 0.000
Pd 0.000 0.000 0.500


Compound: Cu2RhAu
Source: Alexandria
Functional: PBE
Structure: optimized geometry

theoretical density	12.34	g cm⁻³
ΔE_f	0.07	eV/atom
space group	No. 160
magnetization	0.17	μB per formula unit

a b c (Å): 2.757 2.757 8.870
angles (deg): 81.06 81.06 60.00
Element x y z (fractional)
Cu 0.254 0.254 0.239
Cu 0.080 0.080 0.761
Au 0.500 0.500 0.501
Rh 0.667 0.667 0.999


Compound: AcGaAg2Au4
Source: Alexandria
Functional: PBE
Structure: optimized geometry

theoretical density	12.55	g cm⁻³
ΔE_f	-0.32	eV/atom
space group	No. 166
magnetization	0.00	μB per formula unit

a b c (Å): 4.712 4.712 9.349
angles (deg): 75.40 75.40 60.00
Element x y z (fractional)
Ag 0.759 0.759 0.723
Ag 0.241 0.241 0.277
Ga 0.500 0.500 0.500
Au 0.399 0.399 0.802
Au 0.869 0.869 0.394
Au 0.601 0.601 0.198
Au 0.131 0.131 0.606
Ac 0.000 0.000 0.000


Compound: ErAl2
Source: Alexandria
Functional: PBE
Structure: optimized geometry

theoretical density	5.92	g cm⁻³
ΔE_f	-0.25	eV/atom
space group	No. 139
magnetization	0.00	μB per formula unit

a b c (Å): 3.334 3.334 6.065
angles (deg): 105.95 105.95 90.00
Element x y z (fractional)
Al 0.686 0.686 0.372
Al 0.314 0.314 0.628
Er 0.000 0.000 0.000


Compound: In2MoW
Source: Alexandria
Functional: PBE
Structure: optimized geometry

theoretical density	10.57	g cm⁻³
ΔE_f	0.42	eV/atom
space group	No. 35
magnetization	0.00	μB per formula unit

a b c (Å): 2.959 2.959 9.907
angles (deg): 90.00 90.00 112.76
Element x y z (fractional)
W 0.500 0.500 0.724
In 0.000 0.000 0.975
In 0.500 0.500 0.276
Mo 0.000 0.000 0.525


Compound: Zr2NiPb
Source: Alexandria
Functional: PBE
Structure: optimized geometry

theoretical density	8.89	g cm⁻³
ΔE_f	-0.15	eV/atom
space group	No. 38
magnetization	0.00	μB per formula unit

a b c (Å): 4.057 3.756 5.810
angles (deg): 71.17 90.00 90.00
Element x y z (fractional)
Zr 0.500 0.276 0.323
Zr 0.000 0.953 0.970
Ni 0.000 0.718 0.440
Pb 0.500 0.554 0.767